## Sr2WBr (GGA-PBEsol)

Data for Sr2WBr after structural relaxation.

Cell and atoms, written as extended XYZ:
```
8
Lattice="3.2464 0.0000 0.0000 0.0000 5.4971 0.0000 0.0000 0.0000 11.6979" Properties=species:S:1:pos:R:3 pbc="T T T"
Sr 0.0000 0.0000 0.0000
Sr 0.0000 2.7486 2.2492
Sr 1.6232 0.0000 8.0982
Sr 1.6232 2.7486 5.8490
W 0.0000 2.7486 8.8283
W 1.6232 0.0000 2.9793
Br 0.0000 0.0000 5.1585
Br 1.6232 2.7486 11.0075
```

Calculated values
The theoretical density is 6.98 g cm⁻³. Its total energy is -4.362 eV per atom.